YGeH2Se | GGA-PBE | optimized geometry

Unit cell a=3.8926 b=6.1497 c=3.8926 alpha=90.00 beta=90.00 gamma=90.00
Fractional positions:
Y 0.0000 0.5000 0.0000
H 0.5000 0.0000 0.0000
Ge 0.0000 0.0000 0.0000
H 0.0000 0.0000 0.5000
Se 0.5000 0.5000 0.5000

Results
The value obtained for the polymorph energy (0 for the lowest one) is 0.000 eV/atom. The value obtained for the magnetization is 0.0 μB per cell. The calculation puts the density at 4.32 Mg/m³. As for the total energy: -4.60 eV/atom.